Here is an optimized crystal structure of BaCaNiF7 from the Alexandria database. Energies are from GGA-PBEsol.

abc: 5.534 10.801 9.178
angles: 90.00 93.71 90.00
Space group P2_1/c (No. 14)
Unique sites:
Ba: 0.225 0.156 0.475 x4
Ca: 0.234 0.576 0.367 x4
Ni: 0.306 0.658 0.701 x4
F: 0.022 0.744 0.783 x4
F: 0.123 0.522 0.145 x4
F: 0.130 0.532 0.612 x4
F: 0.232 0.746 0.539 x4
F: 0.391 0.561 0.854 x4
F: 0.419 0.105 0.918 x4
F: 0.497 0.216 0.222 x4

energy	-5.390	eV/atom
calculated density	4.5	g/cm³
energy relative to the elements, uncorrected	-2997	meV/atom

Here is an optimized crystal structure of Be2TlRu from the Alexandria database. Energies are from GGA-PBEsol.

abc: 8.103 3.140 4.556
angles: 90.00 103.65 90.00
Space group C2/m (No. 12)
Unique sites:
Be: 0.217 0.000 0.122 x4
Tl: 0.000 0.000 0.500 x2
Ru: 0.000 0.500 0.000 x2

formation enthalpy at 0 K	241	meV/atom
energy	-4.960	eV/atom
calculated density	9.5	g/cm³

Here is an optimized crystal structure of K2CaTc from the Alexandria database. Energies are from GGA-PBEsol.

abc: 3.4125 3.4125 38.7947
angles: 90.00 90.00 120.00
Space group R-3m (No. 166, hexagonal axes)
Unique sites:
K: 0.0000 0.0000 0.2362 x6
Ca: 0.0000 0.0000 0.0000 x3
Tc: 0.0000 0.0000 0.5000 x3

formation enthalpy at 0 K	1299	meV/atom
energy	-2.617	eV/atom
distance to the lowest polymorph of the same formula	73	meV/atom
calculated density	2.8	g/cm³

Here is an optimized crystal structure of TaMoBr2N from the Alexandria database. Energies are from GGA-PBEsol.

abc: 5.233 5.233 3.890
angles: 90.00 90.00 90.00
Space group P4/mmm (No. 123)
Unique sites:
Ta: 0.000 0.000 0.000 x1
Mo: 0.500 0.500 0.500 x1
Br: 0.000 0.500 0.000 x2
N: 0.000 0.000 0.500 x1

energy	-6.582	eV/atom
calculated density	7.0	g/cm³
energy relative to the elements, uncorrected	735	meV/atom

Here is an optimized crystal structure of ZnBC2 from the Alexandria database. Energies are from GGA-PBEsol.

abc: 4.358 4.358 7.644
angles: 90.00 90.00 90.00
Space group I-42d (No. 122)
Unique sites:
Zn: 0.000 0.000 0.000 x4
B: 0.000 0.000 0.500 x4
C: 0.164 0.750 0.625 x8

formation enthalpy at 0 K	959	meV/atom
energy	-6.012	eV/atom
calculated density	4.6	g/cm³

Here is an optimized crystal structure of GaIrO2F from the Alexandria database. Energies are from GGA-PBEsol.

abc: 3.857 3.857 3.664
angles: 90.00 90.00 90.00
Space group P4/mmm (No. 123)
Unique sites:
Ga: 0.000 0.000 0.000 x1
Ir: 0.500 0.500 0.500 x1
O: 0.000 0.500 0.000 x2
F: 0.000 0.000 0.500 x1

energy	-5.377	eV/atom
calculated density	9.5	g/cm³
energy relative to the elements, uncorrected	-259	meV/atom

Here is an optimized crystal structure of LaSbW2 from the Alexandria database. Energies are from GGA-PBEsol.

abc: 6.068 9.216 2.913
angles: 90.00 90.00 90.00
Space group Cmmm (No. 65)
Unique sites:
La: 0.000 0.000 0.000 x2
Sb: 0.000 0.500 0.000 x2
W: 0.250 0.250 0.500 x4

energy	-8.406	eV/atom
calculated density	12.8	g/cm³
energy relative to the elements, uncorrected	974	meV/atom

Here is an optimized crystal structure of Ba2IrAu from the Alexandria database. Energies are from GGA-PBEsol.

abc: 4.4996 4.4996 22.4871
angles: 90.00 90.00 120.00
Space group R-3m (No. 166, hexagonal axes)
Unique sites:
Ba: 0.0000 0.0000 0.2399 x6
Ir: 0.0000 0.0000 0.5000 x3
Au: 0.0000 0.0000 0.0000 x3

formation enthalpy at 0 K	-41	meV/atom
energy	-4.553	eV/atom
calculated density	8.4	g/cm³

What is the formula in the second record?
Be2TlRu